DFT (PBE) results for crystalline LiZrHg2 at its relaxed geometry.

a = 3.1958 Å, b = 3.1958 Å, c = 9.7825 Å
α = 80.60°, β = 80.60°, γ = 60.00°
Positions (direct):
Li 0.6672 0.6672 0.9983
Zr 0.4998 0.4998 0.5005
Hg 0.0787 0.0787 0.7639
Hg 0.2542 0.2542 0.2373

Calculated values
Spin magnetization = 0.00 μB/f.u.
Electronic total energy = -2.869 eV per atom
Theoretical density = 9.76 g/cm³